# 1
Nd2BePd6 after structural relaxation, computed with PBE.

Cell: 6.183 6.183 6.073 Å, 58.49 58.49 58.39°
Element x y z (fractional)
Nd 0.249 0.249 0.242
Nd 0.751 0.751 0.758
Be 0.500 0.500 0.500
Pd 0.238 0.238 0.754
Pd 0.235 0.757 0.241
Pd 0.765 0.243 0.759
Pd 0.757 0.235 0.241
Pd 0.243 0.765 0.759
Pd 0.762 0.762 0.246

Computed properties:
The value obtained for the total energy is -5.741 eV/atom. Its crystal system is monoclinic.

***

# 2
NdBePd2 after structural relaxation, computed with PBE.

Cell: 4.004 4.174 8.951 Å, 103.48 90.00 90.00°
Element x y z (fractional)
Nd 0.000 0.855 0.711
Nd 0.000 0.145 0.289
Be 0.500 0.568 0.136
Be 0.500 0.432 0.864
Pd 0.000 0.500 0.000
Pd 0.500 0.000 0.000
Pd 0.500 0.699 0.398
Pd 0.500 0.301 0.602

Computed properties:
The value obtained for the total energy is -5.410 eV/atom. Its crystal system is orthorhombic.